{"formula": "TaFeAg2", "functional": "PBEsol", "state": "optimized geometry", "lattice": [[-2.1887, 1.5288, 0.6088], [0.7138, -0.8558, 4.7157], [2.8231, 3.9279, 0.2855]], "species": ["Fe", "Ta", "Ag", "Ag"], "frac_coords": [[0.5000, 0.5000, 0.5000], [0.5000, 0.0000, 0.0000], [0.0000, 0.5000, 0.0000], [0.0000, 0.0000, 0.5000]], "ef_mev_per_atom": 613, "n_ef_per_ev_cell": 4.22, "e_above_lowest_polymorph_mev_per_atom": 246, "e_tot_ev_per_cell": -25.69}